RbAl2TcH after structural relaxation. Source: Alexandria, functional PBE-GGA.

Properties
magnetic moment	2.74	μB per cell
VASP energy	-3.440	eV/atom
crystal system	tetragonal
N(E_F)	2.900	states/eV/f.u.

Cell: 4.3637 4.7376 4.3637 Å, 90.00 90.00 90.00°
With the nearest neighbours (Å) after each atom.
Atoms (fractional coordinates):
H: 0.0000 0.0000 0.0000  4 Al 2.18, 2 Rb 2.37
Tc: 0.5000 0.5000 0.5000  4 Rb 3.09, 8 Al 3.22
Rb: 0.0000 0.5000 0.0000  2 H 2.37
Al: 0.0000 0.0000 0.5000  2 H 2.18
Al: 0.5000 0.0000 0.0000  2 H 2.18

---

Rb2AlTlH after structural relaxation. Source: Alexandria, functional PBE-GGA.

Properties
magnetic moment	0.00	μB per cell
VASP energy	-1.997	eV/atom
crystal system	tetragonal
N(E_F)	2.663	states/eV/f.u.

Cell: 5.5236 5.2763 5.5236 Å, 90.00 90.00 90.00°
With the nearest neighbours (Å) after each atom.
Atoms (fractional coordinates):
H: 0.0000 0.0000 0.0000  2 Tl 2.64, 4 Rb 2.76
Tl: 0.0000 0.5000 0.0000  2 H 2.64
Al: 0.5000 0.5000 0.5000  8 Rb 3.82, 4 Tl 3.91
Rb: 0.0000 0.0000 0.5000  2 H 2.76
Rb: 0.5000 0.0000 0.0000  2 H 2.76

---

RbAl2VH after structural relaxation. Source: Alexandria, functional PBE-GGA.

Properties
magnetic moment	0.00	μB per cell
VASP energy	-3.501	eV/atom
crystal system	tetragonal
N(E_F)	3.169	states/eV/f.u.

Cell: 5.3438 3.6142 5.3438 Å, 90.00 90.00 90.00°
With the nearest neighbours (Å) after each atom.
Atoms (fractional coordinates):
H: 0.0000 0.5000 0.0000  2 V 1.81
Al: 0.0000 0.0000 0.5000  2 V 2.67
Al: 0.5000 0.0000 0.0000  2 V 2.67
Rb: 0.5000 0.5000 0.5000  8 Al 3.23
V: 0.0000 0.0000 0.0000  2 H 1.81

---

AlReH5 after structural relaxation. Source: Alexandria, functional PBE-GGA.

Properties
magnetic moment	0.00	μB per cell
VASP energy	-4.468	eV/atom
crystal system	orthorhombic
N(E_F)	1.204	states/eV/f.u.

Cell: 3.1302 4.6461 4.6459 Å, 99.83 70.31 70.31°
With the nearest neighbours (Å) after each atom.
Atoms (fractional coordinates):
Al: 0.0000 0.7961 0.2038  4 H 1.67-1.79
Re: 0.5000 0.4674 0.5326  5 H 1.66-1.76
H: 0.8303 0.1868 0.1526  1 Re 1.72, 1 H 1.73, 1 Al 1.79
H: 0.5000 0.7153 0.2847  2 Al 1.67, 1 Re 1.76
H: 0.1697 0.8474 0.8132  1 Re 1.72, 1 H 1.73, 1 Al 1.79
H: 0.7389 0.2588 0.7412  2 H 1.50-1.63, 1 Re 1.66
H: 0.2611 0.2588 0.7412  2 H 1.50-1.63, 1 Re 1.66